The following is a DFT calculation (PBE) of crystalline CuHgPb2 at its relaxed geometry.

**Total magnetic moment**: 0.000 μB/cell
**Raw total energy**: -2.692 eV/atom
**Energy of formation from the pure elements**: 0.26 eV per atom
**V**: 101.1 Å³/cell
**Density of states at the Fermi level**: 2.11 states/eV/f.u.

abc: 6.0545 6.0545 6.0545
angles: 137.25 137.25 62.05
Fractional coordinates of all 4 atoms:
Cu 0.5000 0.5000 0.0000
Hg 0.7500 0.2500 0.5000
Pb 0.0000 0.0000 0.0000
Pb 0.2500 0.7500 0.5000